# 1
The following is a DFT calculation (GGA-PBE) of a geometry-optimized Nb2AlIr structure.

## Properties
- DOS at the Fermi energy: 0.94 states/eV/atom
- Symmetry: I-42d (122)
- Formation enthalpy at 0 K: 98 meV per atom

```
8
Lattice="-3.728 3.728 2.645 3.728 -3.728 2.645 3.728 3.728 -2.645" Properties=species:S:1:pos:R:3 pbc="T T T"
Nb 5.592 1.632 -0.661
Nb 1.632 1.864 0.661
Nb -1.864 2.097 1.984
Nb 2.097 1.864 3.306
Al 3.728 0.000 1.322
Al 0.000 0.000 2.645
Ir 0.000 0.000 0.000
Ir 0.000 3.728 1.322
```

# 2
The following is a DFT calculation (GGA-PBE) of a geometry-optimized Nb6Al11Ir structure.

## Properties
- DOS at the Fermi energy: 0.44 states/eV/atom
- Symmetry: P6_3/mcm (193)
- Formation enthalpy at 0 K: -437 meV per atom

```
36
Lattice="8.954 0.000 0.000 -4.477 7.755 0.000 0.000 0.000 8.214" Properties=species:S:1:pos:R:3 pbc="T T T"
Nb -1.515 2.624 0.540
Nb -1.515 2.624 3.567
Nb -2.962 5.130 4.647
Nb -2.962 5.130 7.674
Nb 3.030 0.000 0.540
Nb 3.030 0.000 3.567
Nb 1.515 2.624 4.647
Nb 1.515 2.624 7.674
Nb 5.924 0.000 4.647
Nb 5.924 0.000 7.674
Nb 2.962 5.130 0.540
Nb 2.962 5.130 3.567
Al -0.743 1.286 6.160
Al -3.734 6.468 2.053
Al -0.754 3.805 6.160
Al -1.559 5.199 2.053
Al 1.485 0.000 6.160
Al 0.743 1.286 2.053
Al 0.754 3.805 2.053
Al -0.805 6.505 6.160
Al 0.000 5.170 0.000
Al 0.000 5.170 4.107
Al 3.672 1.249 6.160
Al 2.918 2.555 2.053
Al 1.559 5.199 6.160
Al 0.805 6.505 2.053
Al 4.477 2.585 0.000
Al 4.477 2.585 4.107
Al 5.282 1.249 2.053
Al 3.723 3.950 6.160
Al 7.469 0.000 2.053
Al 3.734 6.468 6.160
Al 6.036 2.555 6.160
Al 5.231 3.950 2.053
Ir 0.000 0.000 0.000
Ir 0.000 0.000 4.107
```

# 3
The following is a DFT calculation (GGA-PBE) of a geometry-optimized NbAl5Ir4 structure.

## Properties
- DOS at the Fermi energy: 0.20 states/eV/atom
- Symmetry: P4/mmm (123)
- Formation enthalpy at 0 K: -825 meV per atom

```
10
Lattice="2.988 0.000 0.000 0.000 2.988 0.000 0.000 0.000 16.061" Properties=species:S:1:pos:R:3 pbc="T T T"
Nb 0.000 0.000 0.000
Al 1.494 1.494 1.918
Al 1.494 1.494 4.966
Al 1.494 1.494 8.030
Al 1.494 1.494 11.095
Al 1.494 1.494 14.143
Ir 0.000 0.000 3.439
Ir 0.000 0.000 6.506
Ir 0.000 0.000 9.554
Ir 0.000 0.000 12.622
```

# 4
The following is a DFT calculation (GGA-PBE) of a geometry-optimized Nb12Al3Ir structure.

## Properties
- DOS at the Fermi energy: 0.99 states/eV/atom
- Symmetry: Pmmm (47)
- Formation enthalpy at 0 K: -279 meV per atom

```
16
Lattice="5.195 0.000 0.000 0.000 5.201 0.000 0.000 0.000 10.395" Properties=species:S:1:pos:R:3 pbc="T T T"
Nb 0.000 0.000 1.257
Nb 0.000 0.000 3.862
Nb 0.000 0.000 6.533
Nb 0.000 0.000 9.137
Nb 1.293 2.601 2.571
Nb 1.293 2.601 7.824
Nb 2.598 1.286 5.197
Nb 2.598 1.317 0.000
Nb 2.598 3.884 0.000
Nb 2.598 3.915 5.197
Nb 3.902 2.601 2.571
Nb 3.902 2.601 7.824
Al 0.000 2.601 5.197
Al 2.598 0.000 2.625
Al 2.598 0.000 7.769
Ir 0.000 2.601 0.000
```

# 5
The following is a DFT calculation (GGA-PBE) of a geometry-optimized NbAlNiIr structure.

## Properties
- DOS at the Fermi energy: 0.62 states/eV/atom
- Symmetry: I-4m2 (119)
- Formation enthalpy at 0 K: -549 meV per atom

```
4
Lattice="-2.035 2.035 3.522 2.035 -2.035 3.522 2.035 2.035 -3.522" Properties=species:S:1:pos:R:3 pbc="T T T"
Nb 0.000 0.000 0.000
Al 0.000 0.000 3.522
Ni 0.000 2.035 1.761
Ir 2.035 0.000 1.761
```

# 6
The following is a DFT calculation (GGA-PBE) of a geometry-optimized NbAlIrOs structure.

## Properties
- DOS at the Fermi energy: 0.33 states/eV/atom
- Symmetry: I-4m2 (119)
- Formation enthalpy at 0 K: -514 meV per atom

```
4
Lattice="-2.098 2.098 3.475 2.098 -2.098 3.475 2.098 2.098 -3.475" Properties=species:S:1:pos:R:3 pbc="T T T"
Nb 0.000 0.000 0.000
Al 0.000 0.000 3.475
Ir 2.098 0.000 1.738
Os 0.000 2.098 1.738
```

# 7
The following is a DFT calculation (GGA-PBE) of a geometry-optimized Nb2Al5Ir2Pd structure.

## Properties
- DOS at the Fermi energy: 0.47 states/eV/atom
- Symmetry: P4/mbm (127)
- Formation enthalpy at 0 K: -543 meV per atom

```
20
Lattice="9.081 0.000 0.000 0.000 9.081 0.000 0.000 0.000 3.922" Properties=species:S:1:pos:R:3 pbc="T T T"
Nb 1.630 2.910 0.000
Nb 2.910 7.451 0.000
Nb 6.171 1.630 0.000
Nb 7.451 6.171 0.000
Al 0.000 4.541 1.961
Al 0.555 7.238 1.961
Al 1.844 0.555 1.961
Al 2.697 5.096 1.961
Al 3.986 2.697 1.961
Al 4.541 0.000 1.961
Al 5.096 6.384 1.961
Al 6.384 3.986 1.961
Al 7.238 8.526 1.961
Al 8.526 1.844 1.961
Ir 1.088 5.628 0.000
Ir 3.453 1.088 0.000
Ir 5.628 7.994 0.000
Ir 7.994 3.453 0.000
Pd 0.000 0.000 0.000
Pd 4.541 4.541 0.000
```

# 8
The following is a DFT calculation (GGA-PBE) of a geometry-optimized RbNb2AlIr structure.

## Properties
- DOS at the Fermi energy: 1.53 states/eV/atom
- Symmetry: P4/mmm (123)
- Formation enthalpy at 0 K: 2738 meV per atom

```
5
Lattice="4.798 0.000 0.000 0.000 4.798 0.000 0.000 0.000 4.806" Properties=species:S:1:pos:R:3 pbc="T T T"
Rb 0.000 0.000 0.000
Nb 0.000 2.399 0.000
Nb 2.399 0.000 0.000
Al 2.399 2.399 2.403
Ir 0.000 0.000 2.403
```

# 9
The following is a DFT calculation (GGA-PBE) of a geometry-optimized Nb2Al5Ir2Ru structure.

## Properties
- DOS at the Fermi energy: 0.65 states/eV/atom
- Symmetry: P4/mbm (127)
- Formation enthalpy at 0 K: -469 meV per atom

```
20
Lattice="8.992 0.000 0.000 0.000 8.992 0.000 0.000 0.000 3.941" Properties=species:S:1:pos:R:3 pbc="T T T"
Nb 1.554 2.942 0.000
Nb 2.942 7.438 0.000
Nb 6.050 1.554 0.000
Nb 7.438 6.050 0.000
Al 0.000 4.496 1.971
Al 0.566 7.208 1.971
Al 1.785 0.566 1.971
Al 2.711 5.062 1.971
Al 3.930 2.711 1.971
Al 4.496 0.000 1.971
Al 5.062 6.281 1.971
Al 6.281 3.930 1.971
Al 7.208 8.426 1.971
Al 8.426 1.785 1.971
Ir 1.122 5.618 0.000
Ir 3.374 1.122 0.000
Ir 5.618 7.870 0.000
Ir 7.870 3.374 0.000
Ru 0.000 0.000 0.000
Ru 4.496 4.496 0.000
```

# 10
The following is a DFT calculation (GGA-PBE) of a geometry-optimized NbAlIr2S structure.

## Properties
- ΔE_f (raw): 1.543 eV per atom
- DOS at the Fermi energy: 1.38 states/eV/atom
- Symmetry: P4/mmm (123)

```
5
Lattice="4.759 0.000 0.000 0.000 4.759 0.000 0.000 0.000 5.088" Properties=species:S:1:pos:R:3 pbc="T T T"
Nb 0.000 0.000 0.000
Al 0.000 0.000 2.544
Ir 0.000 2.379 0.000
Ir 2.379 0.000 0.000
S 2.379 2.379 2.544
```

# 11
The following is a DFT calculation (GGA-PBE) of a geometry-optimized NbAl2SbIr structure.

## Properties
- ΔE_f (raw): 0.123 eV per atom
- DOS at the Fermi energy: 0.65 states/eV/atom
- Symmetry: P4/mmm (123)
- Energy above the lowest structure with this stoichiometry: 0 meV per atom

```
5
Lattice="4.709 0.000 0.000 0.000 4.709 0.000 0.000 0.000 4.997" Properties=species:S:1:pos:R:3 pbc="T T T"
Nb 0.000 0.000 0.000
Al 0.000 2.354 2.499
Al 2.354 0.000 2.499
Sb 2.354 2.354 0.000
Ir 0.000 0.000 2.499
```

# 12
The following is a DFT calculation (GGA-PBE) of a geometry-optimized Nb2AlSnIr structure.

## Properties
- DOS at the Fermi energy: 0.84 states/eV/atom
- Symmetry: P4/mmm (123)
- Formation enthalpy at 0 K: 1330 meV per atom

```
5
Lattice="4.653 0.000 0.000 0.000 4.653 0.000 0.000 0.000 4.775" Properties=species:S:1:pos:R:3 pbc="T T T"
Nb 0.000 2.326 0.000
Nb 2.326 0.000 0.000
Al 0.000 0.000 0.000
Sn 0.000 0.000 2.387
Ir 2.326 2.326 2.387
```

# 13
The following is a DFT calculation (GGA-PBE) of a geometry-optimized SrNbAlIr2 structure.

## Properties
- DOS at the Fermi energy: 0.79 states/eV/atom
- Symmetry: I-4m2 (119)
- Formation enthalpy at 0 K: -568 meV per atom

```
5
Lattice="-2.138 2.138 5.577 2.138 -2.138 5.577 2.138 2.138 -5.577" Properties=species:S:1:pos:R:3 pbc="T T T"
Sr 0.000 0.000 0.000
Nb 2.138 0.000 2.789
Al 0.000 2.138 2.789
Ir 0.000 0.000 4.262
Ir 0.000 0.000 6.892
```

# 14
The following is a DFT calculation (GGA-PBE) of a geometry-optimized NbAlTe2Ir structure.

## Properties
- ΔE_f (raw): 1.189 eV per atom
- DOS at the Fermi energy: 1.51 states/eV/atom
- Symmetry: P4/mmm (123)

```
5
Lattice="5.244 0.000 0.000 0.000 5.244 0.000 0.000 0.000 4.986" Properties=species:S:1:pos:R:3 pbc="T T T"
Nb 0.000 0.000 0.000
Al 0.000 0.000 2.493
Te 0.000 2.622 0.000
Te 2.622 0.000 0.000
Ir 2.622 2.622 2.493
```

# 15
The following is a DFT calculation (GGA-PBE) of a geometry-optimized TiNbAlIr structure.

## Properties
- DOS at the Fermi energy: 0.85 states/eV/atom
- Symmetry: F-43m (216)
- Formation enthalpy at 0 K: -451 meV per atom

```
4
Lattice="0.000 3.169 3.169 3.169 0.000 3.169 3.169 3.169 0.000" Properties=species:S:1:pos:R:3 pbc="T T T"
Ti 0.000 0.000 0.000
Nb 1.585 1.585 1.585
Al 4.754 4.754 4.754
Ir 3.169 3.169 3.169
```

# 16
The following is a DFT calculation (GGA-PBE) of a geometry-optimized TiNbAlIr2 structure.

## Properties
- DOS at the Fermi energy: 1.17 states/eV/atom
- Symmetry: P4/mmm (123)
- Formation enthalpy at 0 K: 913 meV per atom

```
5
Lattice="4.538 0.000 0.000 0.000 4.538 0.000 0.000 0.000 4.616" Properties=species:S:1:pos:R:3 pbc="T T T"
Ti 0.000 0.000 0.000
Nb 2.269 2.269 2.308
Al 0.000 0.000 2.308
Ir 0.000 2.269 0.000
Ir 2.269 0.000 0.000
```

# 17
The following is a DFT calculation (GGA-PBE) of a geometry-optimized NbAlVIr structure.

## Properties
- DOS at the Fermi energy: 0.73 states/eV/atom
- Symmetry: F-43m (216)
- Formation enthalpy at 0 K: -430 meV per atom

```
4
Lattice="0.000 3.129 3.129 3.129 0.000 3.129 3.129 3.129 0.000" Properties=species:S:1:pos:R:3 pbc="T T T"
Nb 0.000 0.000 0.000
Al 3.129 3.129 3.129
V 4.694 4.694 4.694
Ir 1.565 1.565 1.565
```

# 18
The following is a DFT calculation (GGA-PBE) of a geometry-optimized YNbAlIr2 structure.

## Properties
- DOS at the Fermi energy: 0.65 states/eV/atom
- Symmetry: P4/mmm (123)
- Formation enthalpy at 0 K: 418 meV per atom

```
5
Lattice="4.828 0.000 0.000 0.000 4.828 0.000 0.000 0.000 4.844" Properties=species:S:1:pos:R:3 pbc="T T T"
Y 0.000 0.000 0.000
Nb 2.414 2.414 2.422
Al 2.414 2.414 0.000
Ir 0.000 2.414 2.422
Ir 2.414 0.000 2.422
```

# 19
The following is a DFT calculation (GGA-PBE) of a geometry-optimized Nd2Al5Ir structure.

## Properties
- DOS at the Fermi energy: 0.48 states/eV/atom
- Symmetry: I4mm (107)
- Formation enthalpy at 0 K: -439 meV per atom

```
8
Lattice="-3.101 3.101 4.584 3.101 -3.101 4.584 3.101 3.101 -4.584" Properties=species:S:1:pos:R:3 pbc="T T T"
Nd 3.101 0.000 0.000
Nd 0.000 3.101 0.000
Al 1.737 1.737 -2.325
Al 1.364 -1.364 2.259
Al 0.000 0.000 0.245
Al -1.364 1.364 2.259
Al 1.364 1.364 2.259
Ir 0.000 0.000 6.991
```

# 20
The following is a DFT calculation (GGA-PBE) of a geometry-optimized Nd2Al9Ir6 structure.

## Properties
- DOS at the Fermi energy: 0.35 states/eV/atom
- Symmetry: P6/mmm (191)
- Formation enthalpy at 0 K: -615 meV per atom

```
17
Lattice="5.526 0.000 0.000 -2.763 4.785 0.000 0.000 0.000 12.024" Properties=species:S:1:pos:R:3 pbc="T T T"
Nd 0.000 0.000 2.009
Nd 0.000 0.000 10.016
Al -1.381 2.393 0.000
Al -1.381 2.393 4.080
Al -1.381 2.393 7.944
Al 2.763 0.000 0.000
Al 2.763 0.000 4.080
Al 2.763 0.000 7.944
Al 1.381 2.393 0.000
Al 1.381 2.393 4.080
Al 1.381 2.393 7.944
Ir 0.000 3.190 2.071
Ir 0.000 3.190 6.012
Ir 0.000 3.190 9.954
Ir 2.763 1.595 2.071
Ir 2.763 1.595 6.012
Ir 2.763 1.595 9.954
```